[1]
VRe2Sn | PBE | optimized geometry

abc: 9.635 9.635 9.635
angles: 156.11 156.11 34.03
Fractional coordinates of all 8 atoms:
1 V 0.000 0.000 0.000
2 V 0.750 0.250 0.500
3 Re 0.059 0.625 0.934
4 Re 0.375 0.309 0.434
5 Re 0.691 0.125 0.066
6 Re 0.875 0.941 0.566
7 Sn 0.250 0.750 0.500
8 Sn 0.500 0.500 0.000

Total energy = -8.729 eV per atom
Crystal system = tetragonal

[2]
PuScUIr | PBE | optimized geometry

abc: 4.829 4.829 4.829
angles: 60.00 60.00 60.00
Fractional coordinates of all 4 atoms:
1 Pu 0.000 0.000 0.000
2 Sc 0.750 0.750 0.750
3 U 0.250 0.250 0.250
4 Ir 0.500 0.500 0.500

Total energy = -10.452 eV per atom
Crystal system = cubic

[3]
BeCo2Sb | PBE | optimized geometry

abc: 4.626 4.626 4.626
angles: 134.58 134.58 66.18
Fractional coordinates of all 4 atoms:
1 Be 0.000 0.000 0.000
2 Co 0.500 0.500 0.000
3 Co 0.750 0.250 0.500
4 Sb 0.250 0.750 0.500

ΔE to the lowest computed polymorph = 121.8 meV/atom
Crystal system = tetragonal